[1]
# NaMn3Ru

NaMn3Ru at its PBEsol-relaxed geometry (meta-GGA SCAN, Alexandria via LeMat-Bulk).

## Properties
Symmetry: Pm-3m, No. 221
Energy of formation in eV per atom: 1.6907
ΔE to the lowest computed polymorph in eV per formula unit: 5.77
Uncorrected energy in eV for the cell shown: -85.4

abc: 4.409 4.409 4.409
angles: 90.00 90.00 90.00
Positions (direct):
Na: 0.000 0.000 0.000
Mn: 0.000 0.000 0.500
Mn: 0.000 0.500 0.000
Mn: 0.500 0.000 0.000
Ru: 0.500 0.500 0.500

***

[2]
# NaMnS3

NaMnS3 at its PBEsol-relaxed geometry (meta-GGA SCAN, Alexandria via LeMat-Bulk).

## Properties
Symmetry: Pm-3m, No. 221
Formation energy from raw total energies in eV/atom: 0.65
Uncorrected energy in eV for the cell shown: -48.1

abc: 4.763 4.763 4.763
angles: 90.00 90.00 90.00
Positions (direct):
Na: 0.000 0.000 0.000
Mn: 0.500 0.500 0.500
S: 0.000 0.000 0.500
S: 0.000 0.500 0.000
S: 0.500 0.000 0.000

***

[3]
# NaMn3S

NaMn3S at its PBEsol-relaxed geometry (meta-GGA SCAN, Alexandria via LeMat-Bulk).

## Properties
Symmetry: Pm-3m, No. 221
Formation energy from raw total energies in eV/atom: 0.00
Uncorrected energy in eV for the cell shown: -68.6

abc: 4.372 4.372 4.372
angles: 90.00 90.00 90.00
Positions (direct):
Na: 0.000 0.000 0.000
Mn: 0.000 0.500 0.500
Mn: 0.500 0.000 0.500
Mn: 0.500 0.500 0.000
S: 0.500 0.500 0.500

***

[4]
# Na3MnS

Na3MnS at its PBEsol-relaxed geometry (meta-GGA SCAN, Alexandria via LeMat-Bulk).

## Properties
Symmetry: Pm-3m, No. 221
Formation energy from raw total energies in eV/atom: 0.53
Uncorrected energy in eV for the cell shown: -37.9

abc: 5.377 5.377 5.377
angles: 90.00 90.00 90.00
Positions (direct):
Na: 0.000 0.000 0.500
Na: 0.000 0.500 0.000
Na: 0.500 0.000 0.000
Mn: 0.000 0.000 0.000
S: 0.500 0.500 0.500

***

[5]
# NaMnSb

NaMnSb at its PBEsol-relaxed geometry (meta-GGA SCAN, Alexandria via LeMat-Bulk).

## Properties
Symmetry: P4/nmm, No. 129
Formation energy from raw total energies in eV/atom: -0.39
Uncorrected energy in eV for the cell shown: -121.8

abc: 4.327 4.327 7.358
angles: 90.00 90.00 90.00
Positions (direct):
Na: 0.250 0.250 0.154
Na: 0.750 0.750 0.846
Mn: 0.250 0.750 0.500
Mn: 0.750 0.250 0.500
Sb: 0.250 0.250 0.715
Sb: 0.750 0.750 0.285

***

[6]
# NaMnSbTe2

NaMnSbTe2 at its PBEsol-relaxed geometry (meta-GGA SCAN, Alexandria via LeMat-Bulk).

## Properties
Symmetry: P4/mmm, No. 123
Formation energy from raw total energies in eV/atom: -0.15
Uncorrected energy in eV for the cell shown: -135.0

abc: 5.317 5.317 5.009
angles: 90.00 90.00 90.00
Positions (direct):
Na: 0.000 0.000 0.000
Mn: 0.500 0.500 0.500
Sb: 0.500 0.500 0.000
Te: 0.000 0.500 0.500
Te: 0.500 0.000 0.500

***

[7]
# NaMnSb2Te

NaMnSb2Te at its PBEsol-relaxed geometry (meta-GGA SCAN, Alexandria via LeMat-Bulk).

## Properties
Symmetry: P4/mmm, No. 123
Formation energy from raw total energies in eV/atom: -0.02
Uncorrected energy in eV for the cell shown: -134.3

abc: 4.982 4.982 5.508
angles: 90.00 90.00 90.00
Positions (direct):
Na: 0.000 0.000 0.000
Mn: 0.500 0.500 0.500
Sb: 0.000 0.500 0.500
Sb: 0.500 0.000 0.500
Te: 0.500 0.500 0.000

***

[8]
# NaZrMnSb2

NaZrMnSb2 at its PBEsol-relaxed geometry (meta-GGA SCAN, Alexandria via LeMat-Bulk).

## Properties
Symmetry: P4/mmm, No. 123
Formation energy from raw total energies in eV/atom: 1.06
Uncorrected energy in eV for the cell shown: -122.4

abc: 5.134 5.134 4.906
angles: 90.00 90.00 90.00
Positions (direct):
Na: 0.000 0.000 0.000
Zr: 0.000 0.000 0.500
Mn: 0.500 0.500 0.500
Sb: 0.000 0.500 0.000
Sb: 0.500 0.000 0.000

***

[9]
# Na2ScMn

Na2ScMn at its PBEsol-relaxed geometry (meta-GGA SCAN, Alexandria via LeMat-Bulk).

## Properties
Symmetry: Fm-3m, No. 225
Energy of formation in eV per atom: 0.5907
Uncorrected energy in eV for the cell shown: -154.2

abc: 7.215 7.215 7.215
angles: 90.00 90.00 90.00
Positions (direct):
Na: 0.250 0.250 0.250
Na: 0.250 0.250 0.750
Na: 0.250 0.750 0.250
Na: 0.250 0.750 0.750
Na: 0.750 0.250 0.250
Na: 0.750 0.250 0.750
Na: 0.750 0.750 0.250
Na: 0.750 0.750 0.750
Sc: 0.000 0.000 0.000
Sc: 0.000 0.500 0.500
Sc: 0.500 0.000 0.500
Sc: 0.500 0.500 0.000
Mn: 0.000 0.000 0.500
Mn: 0.000 0.500 0.000
Mn: 0.500 0.000 0.000
Mn: 0.500 0.500 0.500

***

[10]
# Na3ScMn

Na3ScMn at its PBEsol-relaxed geometry (meta-GGA SCAN, Alexandria via LeMat-Bulk).

## Properties
Symmetry: Pm-3m, No. 221
Energy of formation in eV per atom: 0.8939
Uncorrected energy in eV for the cell shown: -40.7

abc: 5.408 5.408 5.408
angles: 90.00 90.00 90.00
Positions (direct):
Na: 0.000 0.000 0.500
Na: 0.000 0.500 0.000
Na: 0.500 0.000 0.000
Sc: 0.500 0.500 0.500
Mn: 0.000 0.000 0.000

***

[11]
# Na3MnSe

Na3MnSe at its PBEsol-relaxed geometry (meta-GGA SCAN, Alexandria via LeMat-Bulk).

## Properties
Symmetry: Pm-3m, No. 221
ΔE to the lowest computed polymorph in eV per formula unit: 3.01
Formation energy from raw total energies in eV/atom: 0.41
Uncorrected energy in eV for the cell shown: -48.9

abc: 5.410 5.410 5.410
angles: 90.00 90.00 90.00
Positions (direct):
Na: 0.000 0.000 0.500
Na: 0.000 0.500 0.000
Na: 0.500 0.000 0.000
Mn: 0.000 0.000 0.000
Se: 0.500 0.500 0.500

***

[12]
# Na3MnSe

Na3MnSe at its PBEsol-relaxed geometry (meta-GGA SCAN, Alexandria via LeMat-Bulk).

## Properties
Symmetry: Pm-3m, No. 221
ΔE to the lowest computed polymorph in eV per formula unit: 0.00
Formation energy from raw total energies in eV/atom: -0.19
Uncorrected energy in eV for the cell shown: -51.9

abc: 5.471 5.471 5.471
angles: 90.00 90.00 90.00
Positions (direct):
Na: 0.000 0.000 0.500
Na: 0.000 0.500 0.000
Na: 0.500 0.000 0.000
Mn: 0.500 0.500 0.500
Se: 0.000 0.000 0.000